Entry 1:
VASP calculation (PBE-GGA) on crystalline Li12CdGa3 at its relaxed geometry.

abc: 3.9984 3.9984 17.0540
angles: 90.00 90.00 90.00
Closest atoms and distances in Å follow each position.
Fractional coordinates of all 16 atoms:
Li: 0.0000 0.5000 0.3759  8 Li 2.83-2.91, 4 Ga 2.88-2.91
Li: 0.0000 0.5000 0.6241  8 Li 2.83-2.91, 4 Ga 2.88-2.91
Li: 0.5000 0.0000 0.3759  8 Li 2.83-2.91, 4 Ga 2.88-2.91
Li: 0.5000 0.0000 0.6241  8 Li 2.83-2.91, 4 Ga 2.88-2.91
Li: 0.5000 0.5000 0.7464  4 Ga 2.83, 8 Li 2.89
Li: 0.5000 0.0000 0.1309  8 Li 2.83-3.00, 2 Ga 2.91, 2 Cd 3.00
Li: 0.5000 0.5000 0.2536  4 Ga 2.83, 8 Li 2.89
Li: 0.5000 0.5000 0.0000  4 Cd 2.83, 8 Li 3.00
Li: 0.5000 0.0000 0.8691  8 Li 2.83-3.00, 2 Ga 2.91, 2 Cd 3.00
Li: 0.5000 0.5000 0.5000  4 Ga 2.83, 8 Li 2.91
Li: 0.0000 0.5000 0.1309  8 Li 2.83-3.00, 2 Ga 2.91, 2 Cd 3.00
Li: 0.0000 0.5000 0.8691  8 Li 2.83-3.00, 2 Ga 2.91, 2 Cd 3.00
Ga: 0.0000 0.0000 0.7453  12 Li 2.83-2.91
Ga: 0.0000 0.0000 0.2547  12 Li 2.83-2.91
Ga: 0.0000 0.0000 0.5000  12 Li 2.83-2.91
Cd: 0.0000 0.0000 0.0000  12 Li 2.83-3.00

Computed properties:
- Uncorrected energy: -2.224 eV per atom
- DOS(E_F): 0.41 states/eV per atom
- Symmetry: No. 123

***

Entry 2:
VASP calculation (PBE-GGA) on crystalline PmNd2HoSc at its relaxed geometry.

abc: 7.2046 8.2605 7.0586
angles: 125.81 90.00 90.00
Closest atoms and distances in Å follow each position.
Fractional coordinates of all 10 atoms:
Pm: 0.2500 0.7282 0.4564  1 Sc 2.99
Pm: 0.7500 0.2718 0.5436  1 Sc 2.99
Nd: 0.0000 0.6994 0.0000  2 Sc 3.07, 1 Nd 3.29
Nd: 0.5000 0.6994 0.0000  2 Sc 3.07, 1 Nd 3.29
Nd: 0.0000 0.3006 0.0000  2 Sc 3.07, 1 Nd 3.29
Nd: 0.5000 0.3006 0.0000  2 Sc 3.07, 1 Nd 3.29
Sc: 0.2500 0.9891 0.9782  1 Pm 2.99, 4 Nd 3.07, 1 Ho 3.08
Sc: 0.7500 0.0109 0.0218  1 Pm 2.99, 4 Nd 3.07, 1 Ho 3.08
Ho: 0.2500 0.2581 0.5162  1 Sc 3.08
Ho: 0.7500 0.7419 0.4838  1 Sc 3.08

Computed properties:
- Uncorrected energy: -4.686 eV per atom
- DOS(E_F): 1.32 states/eV per atom
- Symmetry: No. 63

***

Entry 3:
VASP calculation (PBE-GGA) on crystalline NaSc2Ag at its relaxed geometry.

abc: 5.0069 5.0069 5.0069
angles: 60.00 60.00 60.00
Closest atoms and distances in Å follow each position.
Fractional coordinates of all 4 atoms:
Na: 0.0000 0.0000 0.0000  8 Sc 3.07
Sc: 0.2500 0.2500 0.2500  4 Ag 3.07, 4 Na 3.07
Sc: 0.7500 0.7500 0.7500  4 Na 3.07, 4 Ag 3.07
Ag: 0.5000 0.5000 0.5000  8 Sc 3.07

Computed properties:
- Uncorrected energy: -4.054 eV per atom
- DOS(E_F): 0.53 states/eV per atom
- Symmetry: No. 225

***

Number 1: formation energy from the elements -0.164 eV/atom. Number 2: formation energy from the elements 0.353 eV/atom. Number 3: formation energy from the elements 0.154 eV/atom.